# 1
Density functional theory data (PBE-GGA) for crystalline NdGa2Ag at its relaxed geometry.

## Properties
Energy relative to the lowest polymorph listed for this composition: 0 meV/atom
DFT formation energy: -0.49 eV/atom
Total magnetization: 0.0 μB/f.u.

```
NdGa2Ag
1.0
2.354 -5.295 0.000
2.354 5.295 0.000
0.000 0.000 6.703
Nd Ga Ag
2 4 2
Direct
0.103 0.897 0.750 Nd
0.897 0.103 0.250 Nd
0.384 0.616 0.554 Ga
0.384 0.616 0.946 Ga
0.616 0.384 0.054 Ga
0.616 0.384 0.446 Ga
0.195 0.805 0.250 Ag
0.805 0.195 0.750 Ag
```

=====

# 2
Density functional theory data (PBE-GGA) for crystalline NdGaAg4 at its relaxed geometry.

## Properties
Energy relative to the lowest polymorph listed for this composition: 13 meV/atom
DFT formation energy: -0.16 eV/atom
Total magnetization: 0.0 μB/f.u.

```
NdGaAg4
1.0
7.847 0.000 0.000
0.000 4.232 0.000
0.000 0.000 7.509
Nd Ga Ag
2 2 8
Direct
0.250 0.000 0.117 Nd
0.750 0.000 0.883 Nd
0.250 0.000 0.721 Ga
0.750 0.000 0.279 Ga
0.000 0.000 0.500 Ag
0.054 0.500 0.815 Ag
0.250 0.500 0.444 Ag
0.446 0.500 0.815 Ag
0.500 0.000 0.500 Ag
0.554 0.500 0.185 Ag
0.750 0.500 0.556 Ag
0.946 0.500 0.185 Ag
```

=====

# 3
Density functional theory data (PBE-GGA) for crystalline NdGa3Ag3 at its relaxed geometry.

## Properties
Energy relative to the lowest polymorph listed for this composition: 437 meV/atom
DFT formation energy: 0.18 eV/atom
Total magnetization: 0.0 μB/f.u.

```
NdGa3Ag3
1.0
7.033 0.000 0.000
0.000 7.033 0.000
0.000 0.000 7.033
Nd Ga Ag
2 6 6
Direct
0.000 0.000 0.000 Nd
0.500 0.500 0.500 Nd
0.000 0.250 0.500 Ga
0.000 0.750 0.500 Ga
0.250 0.500 0.000 Ga
0.500 0.000 0.250 Ga
0.500 0.000 0.750 Ga
0.750 0.500 0.000 Ga
0.000 0.500 0.250 Ag
0.000 0.500 0.750 Ag
0.250 0.000 0.500 Ag
0.500 0.250 0.000 Ag
0.500 0.750 0.000 Ag
0.750 0.000 0.500 Ag
```

=====

# 4
Density functional theory data (PBE-GGA) for crystalline Nd3Ga9Ag2 at its relaxed geometry.

## Properties
DFT formation energy: -0.49 eV/atom
Total magnetization: 0.0 μB/f.u.

```
Nd3Ga9Ag2
1.0
-2.172 5.062 6.459
2.172 -5.062 6.459
2.172 5.062 -6.459
Nd Ga Ag
3 9 2
Direct
0.000 0.000 0.000 Nd
0.318 0.318 0.000 Nd
0.682 0.682 0.000 Nd
0.041 0.668 0.373 Ga
0.132 0.861 0.272 Ga
0.294 0.668 0.627 Ga
0.411 0.139 0.272 Ga
0.500 0.000 0.500 Ga
0.589 0.861 0.728 Ga
0.706 0.332 0.373 Ga
0.868 0.139 0.728 Ga
0.959 0.332 0.627 Ga
0.278 0.500 0.778 Ag
0.722 0.500 0.222 Ag
```